Record 1
## Er3Zn4Hg2 (PBE)

Data for a relaxed Er3Zn4Hg2 crystal.

Cell lengths 5.750, 5.750, 8.668 Å; angles 113.34, 113.34, 47.36 degrees
Fractional positions:
Er  0.000  0.000  0.000
Er  0.334  0.334  0.331
Er  0.666  0.666  0.669
Zn  0.050  0.050  0.391
Zn  0.271  0.271  0.949
Zn  0.729  0.729  0.051
Zn  0.950  0.950  0.609
Hg  0.388  0.388  0.723
Hg  0.612  0.612  0.277

Symmetry = No. 12
DFT formation energy = -0.390 eV/atom
Volume = 21.1 Å³ per atom
Electronic total energy = -2.545 eV/atom

Record 2
## Pr3Dy4Ho4 (PBE)

Data for a relaxed Pr3Dy4Ho4 crystal.

Cell lengths 3.585, 5.056, 19.963 Å; angles 82.74, 84.86, 89.98 degrees
Fractional positions:
Pr  0.000  0.000  0.000
Pr  0.363  0.363  0.274
Pr  0.637  0.637  0.726
Dy  0.183  0.183  0.633
Dy  0.454  0.454  0.092
Dy  0.546  0.546  0.908
Dy  0.817  0.817  0.367
Ho  0.091  0.090  0.818
Ho  0.272  0.272  0.456
Ho  0.728  0.728  0.544
Ho  0.909  0.910  0.182

Symmetry = No. 2
Energy relative to the lowest polymorph listed for this composition = 0 meV/atom
DFT formation energy = 0.020 eV/atom
Volume = 32.5 Å³ per atom
Electronic total energy = -4.621 eV/atom

Record 3
## CsRb2TeCl (PBE)

Data for a relaxed CsRb2TeCl crystal.

Cell lengths 9.462, 9.462, 10.739 Å; angles 90.00, 90.00, 148.47 degrees
Fractional positions:
Cs  0.067  0.933  0.750
Cs  0.933  0.067  0.250
Rb  0.330  0.670  0.567
Rb  0.330  0.670  0.933
Rb  0.670  0.330  0.067
Rb  0.670  0.330  0.433
Te  0.263  0.737  0.250
Te  0.737  0.263  0.750
Cl  0.500  0.500  0.000
Cl  0.500  0.500  0.500

Symmetry = No. 63
Raw formation energy = -1331 meV/atom
Volume = 50.3 Å³ per atom
Electronic total energy = -2.886 eV/atom

Record 4
## Ho4Ni3Ru (PBE)

Data for a relaxed Ho4Ni3Ru crystal.

Cell lengths 3.360, 3.360, 13.521 Å; angles 90.00, 90.00, 90.00 degrees
Fractional positions:
Ho  0.000  0.000  0.124
Ho  0.000  0.000  0.376
Ho  0.000  0.000  0.624
Ho  0.000  0.000  0.876
Ni  0.500  0.500  0.000
Ni  0.500  0.500  0.247
Ni  0.500  0.500  0.753
Ru  0.500  0.500  0.500

Symmetry = No. 123
DFT formation energy = -0.432 eV/atom
Volume = 19.1 Å³ per atom
Electronic total energy = -6.049 eV/atom

Record 5
## UInOsRu (PBE)

Data for a relaxed UInOsRu crystal.

Cell lengths 4.700, 4.700, 4.700 Å; angles 60.00, 60.00, 60.00 degrees
Fractional positions:
U  0.000  0.000  0.000
In  0.500  0.500  0.500
Os  0.250  0.250  0.250
Ru  0.750  0.750  0.750

Symmetry = No. 216
DFT formation energy = -0.027 eV/atom
Volume = 18.4 Å³ per atom
Electronic total energy = -8.660 eV/atom

Record 6
## LiHfB (PBE)

Data for a relaxed LiHfB crystal.

Cell lengths 3.373, 3.373, 9.330 Å; angles 90.00, 90.00, 90.00 degrees
Fractional positions:
Li  0.250  0.250  0.124
Li  0.750  0.750  0.876
Hf  0.250  0.250  0.622
Hf  0.750  0.750  0.378
B  0.250  0.250  0.362
B  0.750  0.750  0.638

Symmetry = No. 129
Energy relative to the lowest polymorph listed for this composition = 254 meV/atom
DFT formation energy = -0.101 eV/atom
Volume = 17.7 Å³ per atom
Electronic total energy = -6.283 eV/atom

Record 7
## NaNi4S2 (PBE)

Data for a relaxed NaNi4S2 crystal.

Cell lengths 7.791, 7.791, 3.661 Å; angles 90.00, 90.00, 152.77 degrees
Fractional positions:
Na  0.000  0.000  0.000
Ni  0.192  0.808  0.500
Ni  0.310  0.690  0.000
Ni  0.690  0.310  0.000
Ni  0.808  0.192  0.500
S  0.388  0.612  0.500
S  0.612  0.388  0.500

Symmetry = No. 65
Raw formation energy = -410 meV/atom
Volume = 14.5 Å³ per atom
Electronic total energy = -5.081 eV/atom

Record 8
## PmSmGaSi (PBE)

Data for a relaxed PmSmGaSi crystal.

Cell lengths 4.032, 5.955, 5.955 Å; angles 43.48, 90.00, 90.00 degrees
Fractional positions:
Pm  0.000  0.000  0.000
Sm  0.500  0.718  0.718
Ga  0.500  0.430  0.430
Si  0.000  0.285  0.285

Symmetry = No. 38
Energy relative to the lowest polymorph listed for this composition = 0 meV/atom
Raw formation energy = -719 meV/atom
Volume = 24.6 Å³ per atom
Electronic total energy = -5.199 eV/atom